Record 1
{
  "formula": "MnFe6Co3",
  "functional": "PBE",
  "state": "relaxed",
  "total_magnetization_mub_per_cell": 31.3,
  "space_group": "P2_1/m (11)",
  "rho_g_cm3": 8.23,
  "e_tot_ry_per_atom": -0.5956,
  "volume_a3_per_cell": 228.6,
  "lattice": [[4.934, 0.000, 0.000], [0.000, 4.012, 0.000], [-1.859, 0.000, 11.551]],
  "species": ["Mn", "Mn", "Fe", "Fe", "Fe", "Fe", "Fe", "Fe", "Fe", "Fe", "Fe", "Fe", "Fe", "Fe", "Co", "Co", "Co", "Co", "Co", "Co"],
  "fractional_positions": [[0.219, 0.250, 0.451], [0.781, 0.750, 0.549], [0.054, 0.750, 0.153], [0.148, 0.750, 0.951], [0.258, 0.250, 0.250], [0.282, 0.750, 0.558], [0.447, 0.250, 0.847], [0.458, 0.750, 0.357], [0.542, 0.250, 0.643], [0.553, 0.750, 0.153], [0.718, 0.250, 0.442], [0.742, 0.750, 0.750], [0.852, 0.250, 0.049], [0.946, 0.250, 0.847], [0.042, 0.250, 0.644], [0.242, 0.750, 0.754], [0.353, 0.250, 0.049], [0.647, 0.750, 0.951], [0.758, 0.250, 0.246], [0.958, 0.750, 0.356]]
}

---

Record 2
{
  "formula": "PuUGa2",
  "functional": "PBE",
  "state": "relaxed",
  "total_magnetization_mub_per_cell": 7.7,
  "space_group": "P4/mmm (123)",
  "rho_g_cm3": 12.61,
  "e_tot_ry_per_atom": -0.5966,
  "volume_a3_per_cell": 81.9,
  "lattice": [[4.251, 0.000, 0.000], [0.000, 4.251, 0.000], [0.000, 0.000, 4.529]],
  "species": ["Pu", "U", "Ga", "Ga"],
  "fractional_positions": [[0.000, 0.000, 0.000], [0.500, 0.500, 0.000], [0.000, 0.500, 0.500], [0.500, 0.000, 0.500]]
}

---

Record 3
{
  "formula": "CeNiCl6",
  "functional": "PBE",
  "state": "relaxed",
  "formation_energy_uncorrected_mev_per_atom": -1347,
  "total_magnetization_mub_per_cell": 0.2,
  "space_group": "C2/m (12)",
  "rho_g_cm3": 2.82,
  "volume_a3_per_cell": 242.7,
  "lattice": [[3.451, -5.601, 0.000], [3.451, 5.601, 0.000], [-2.888, 0.000, 6.280]],
  "species": ["Ce", "Ni", "Cl", "Cl", "Cl", "Cl", "Cl", "Cl"],
  "fractional_positions": [[0.000, 0.000, 0.000], [0.500, 0.500, 0.500], [0.158, 0.444, 0.293], [0.215, 0.215, 0.779], [0.444, 0.158, 0.293], [0.556, 0.842, 0.707], [0.785, 0.785, 0.221], [0.842, 0.556, 0.707]]
}

---

Record 4
{
  "formula": "Li2NpRhO6",
  "functional": "PBE",
  "state": "relaxed",
  "formation_energy_uncorrected_mev_per_atom": -1947,
  "total_magnetization_mub_per_cell": 0.3,
  "space_group": "P2_1/c (14)",
  "rho_g_cm3": 6.71,
  "volume_a3_per_cell": 222.6,
  "lattice": [[5.289, 0.000, 0.000], [0.000, 5.466, 0.000], [-5.266, 0.000, 7.702]],
  "species": ["Li", "Li", "Li", "Li", "Np", "Np", "Rh", "Rh", "O", "O", "O", "O", "O", "O", "O", "O", "O", "O", "O", "O"],
  "fractional_positions": [[0.248, 0.026, 0.253], [0.248, 0.474, 0.753], [0.752, 0.526, 0.247], [0.752, 0.974, 0.747], [0.500, 0.000, 0.000], [0.500, 0.500, 0.500], [0.000, 0.000, 0.500], [0.000, 0.500, 0.000], [0.128, 0.052, 0.748], [0.128, 0.448, 0.248], [0.241, 0.686, 0.563], [0.241, 0.814, 0.063], [0.382, 0.182, 0.560], [0.382, 0.318, 0.060], [0.618, 0.682, 0.940], [0.618, 0.818, 0.440], [0.759, 0.186, 0.937], [0.759, 0.314, 0.437], [0.872, 0.552, 0.752], [0.872, 0.948, 0.252]]
}

---

Record 5
{
  "formula": "Nd12GaCo6",
  "functional": "PBE",
  "state": "relaxed",
  "total_magnetization_mub_per_cell": 0.0,
  "space_group": "Im-3 (204)",
  "rho_g_cm3": 7.25,
  "e_tot_ry_per_atom": -0.4072,
  "volume_a3_per_cell": 493.5,
  "lattice": [[-4.978, 4.978, 4.978], [4.978, -4.978, 4.978], [4.978, 4.978, -4.978]],
  "species": ["Nd", "Nd", "Nd", "Nd", "Nd", "Nd", "Nd", "Nd", "Nd", "Nd", "Nd", "Nd", "Ga", "Co", "Co", "Co", "Co", "Co", "Co"],
  "fractional_positions": [[0.112, 0.808, 0.304], [0.192, 0.304, 0.496], [0.192, 0.696, 0.888], [0.304, 0.112, 0.808], [0.304, 0.496, 0.192], [0.496, 0.192, 0.304], [0.504, 0.808, 0.696], [0.696, 0.504, 0.808], [0.696, 0.888, 0.192], [0.808, 0.304, 0.112], [0.808, 0.696, 0.504], [0.888, 0.192, 0.696], [0.000, 0.000, 0.000], [0.112, 0.612, 0.500], [0.388, 0.500, 0.888], [0.500, 0.112, 0.612], [0.500, 0.888, 0.388], [0.612, 0.500, 0.112], [0.888, 0.388, 0.500]]
}

---

Record 6
{
  "formula": "Tb3EuPd",
  "functional": "PBE",
  "state": "relaxed",
  "total_magnetization_mub_per_cell": 7.9,
  "space_group": "Pm-3m (221)",
  "rho_g_cm3": 7.13,
  "e_tot_ry_per_atom": -0.4450,
  "volume_a3_per_cell": 171.3,
  "lattice": [[5.554, 0.000, 0.000], [0.000, 5.554, 0.000], [0.000, 0.000, 5.554]],
  "species": ["Tb", "Tb", "Tb", "Eu", "Pd"],
  "fractional_positions": [[0.000, 0.000, 0.500], [0.000, 0.500, 0.000], [0.500, 0.000, 0.000], [0.500, 0.500, 0.500], [0.000, 0.000, 0.000]]
}

---

Record 7
{
  "formula": "TlClF2",
  "functional": "PBE",
  "state": "relaxed",
  "formation_energy_uncorrected_mev_per_atom": -996,
  "total_magnetization_mub_per_cell": 0.0,
  "space_group": "I-42d (122)",
  "rho_g_cm3": 5.84,
  "volume_a3_per_cell": 158.1,
  "lattice": [[-2.333, 2.333, 7.262], [2.333, -2.333, 7.262], [2.333, 2.333, -7.262]],
  "species": ["Tl", "Tl", "Cl", "Cl", "F", "F", "F", "F"],
  "fractional_positions": [[0.000, 0.000, 0.000], [0.750, 0.250, 0.500], [0.250, 0.750, 0.500], [0.500, 0.500, 0.000], [0.375, 0.221, 0.346], [0.779, 0.125, 0.154], [0.875, 0.029, 0.654], [0.971, 0.625, 0.846]]
}

---

Record 8
{
  "formula": "Pm2AlO",
  "functional": "PBE",
  "state": "relaxed",
  "formation_energy_uncorrected_mev_per_atom": -1440,
  "total_magnetization_mub_per_cell": 0.0,
  "space_group": "R-3m (166)",
  "rho_g_cm3": 6.33,
  "volume_a3_per_cell": 87.4,
  "lattice": [[1.832, 1.058, 7.514], [-1.832, 1.058, 7.514], [0.000, -2.115, 7.514]],
  "species": ["Pm", "Pm", "Al", "O"],
  "fractional_positions": [[0.229, 0.229, 0.229], [0.771, 0.771, 0.771], [0.000, 0.000, 0.000], [0.500, 0.500, 0.500]]
}

---

Record 9
{
  "formula": "Tc2SnMoH",
  "functional": "PBE",
  "state": "relaxed",
  "total_magnetization_mub_per_cell": 0.3,
  "space_group": "P4/mmm (123)",
  "rho_g_cm3": 10.17,
  "e_tot_ry_per_atom": -0.5551,
  "volume_a3_per_cell": 67.2,
  "lattice": [[4.107, 0.000, 0.000], [0.000, 4.107, 0.000], [0.000, 0.000, 3.985]],
  "species": ["Tc", "Tc", "Sn", "Mo", "H"],
  "fractional_positions": [[0.000, 0.500, 0.000], [0.500, 0.000, 0.000], [0.000, 0.000, 0.500], [0.500, 0.500, 0.500], [0.500, 0.500, 0.000]]
}

---

Record 10
{
  "formula": "GaBrF2",
  "functional": "PBE",
  "state": "relaxed",
  "formation_energy_uncorrected_mev_per_atom": -587,
  "total_magnetization_mub_per_cell": 0.0,
  "space_group": "Fm-3m (225)",
  "rho_g_cm3": 5.16,
  "volume_a3_per_cell": 60.3,
  "lattice": [[0.000, 3.113, 3.113], [3.113, 0.000, 3.113], [3.113, 3.113, 0.000]],
  "species": ["Ga", "Br", "F", "F"],
  "fractional_positions": [[0.000, 0.000, 0.000], [0.500, 0.500, 0.500], [0.250, 0.250, 0.250], [0.750, 0.750, 0.750]]
}

---

Record 11
{
  "formula": "Li3Tb2ZrS6",
  "functional": "PBE",
  "state": "relaxed",
  "formation_energy_uncorrected_mev_per_atom": -1710,
  "total_magnetization_mub_per_cell": 0.0,
  "space_group": "C2/m (12)",
  "rho_g_cm3": 4.39,
  "volume_a3_per_cell": 235.4,
  "lattice": [[3.313, -5.737, 0.000], [3.313, 5.737, 0.000], [-2.208, 0.000, 6.192]],
  "species": ["Li", "Li", "Li", "Tb", "Tb", "Zr", "S", "S", "S", "S", "S", "S"],
  "fractional_positions": [[0.000, 0.000, 0.000], [0.338, 0.662, 0.000], [0.662, 0.338, 0.000], [0.167, 0.833, 0.500], [0.833, 0.167, 0.500], [0.500, 0.500, 0.500], [0.096, 0.415, 0.247], [0.263, 0.263, 0.750], [0.415, 0.096, 0.247], [0.585, 0.904, 0.753], [0.737, 0.737, 0.250], [0.904, 0.585, 0.753]]
}

---

Record 12
{
  "formula": "NbV3Ir",
  "functional": "PBE",
  "state": "relaxed",
  "total_magnetization_mub_per_cell": 2.2,
  "space_group": "Pm-3m (221)",
  "rho_g_cm3": 7.59,
  "e_tot_ry_per_atom": -0.6058,
  "volume_a3_per_cell": 95.8,
  "lattice": [[4.575, 0.000, 0.000], [0.000, 4.575, 0.000], [0.000, 0.000, 4.575]],
  "species": ["Nb", "V", "V", "V", "Ir"],
  "fractional_positions": [[0.000, 0.000, 0.000], [0.000, 0.500, 0.500], [0.500, 0.000, 0.500], [0.500, 0.500, 0.000], [0.500, 0.500, 0.500]]
}